# 1
Below is a relaxed TiPtBr2 crystal, with properties calculated at the PBE level.

Cell and atoms, written as POSCAR:
```
TiPtBr2
1.0
-3.0984 3.3509 -0.9132
-2.6134 -3.0555 -2.3445
-6.8889 -1.7001 5.2748
Pt Ti Br
2 2 4
Direct
0.7500 0.2500 0.5000
0.0000 0.0000 0.0000
0.2500 0.7500 0.5000
0.5000 0.5000 0.0000
0.3750 0.3806 0.7500
0.1306 0.6250 0.2500
0.8750 0.8694 0.7500
0.6194 0.1250 0.2500
```

Properties
Formation energy without anion corrections, eV per atom: 0.04
Offset from the most stable computed form, meV per atom: 242

# 2
Below is a relaxed TmHfU2As4 crystal, with properties calculated at the PBE level.

Cell and atoms, written as POSCAR:
```
TmHfU2As4
1.0
3.9793 0.0000 0.0000
0.0000 6.9451 0.1406
0.0000 -2.4077 6.5354
Tm As U Hf
1 4 2 1
Direct
0.5000 0.5000 0.0000
0.5000 0.7603 0.7626
0.0000 0.2466 0.7585
0.0000 0.7534 0.2415
0.5000 0.2397 0.2374
0.0000 0.5000 0.5000
0.5000 0.0000 0.5000
0.0000 0.0000 0.0000
```

Properties
Energy of formation from the pure elements, eV/atom: -0.97

# 3
Below is a relaxed CsNpAgCl6 crystal, with properties calculated at the PBE level.

Cell and atoms, written as POSCAR:
```
CsNpAgCl6
1.0
-4.0938 -9.0298 3.8488
-2.5611 -2.2159 -7.9229
9.7705 2.2197 0.9061
Ag Cl Np Cs
2 12 2 2
Direct
0.5000 0.0000 0.0000
0.5000 0.5000 0.0000
0.9125 0.6681 0.2589
0.0875 0.9092 0.7411
0.4248 0.6748 0.8495
0.6536 0.3319 0.7411
0.0875 0.3319 0.7411
0.2938 0.0438 0.5875
0.3464 0.6681 0.2589
0.6536 0.9092 0.7411
0.3464 0.0908 0.2589
0.9125 0.0908 0.2589
0.7062 0.9562 0.4125
0.5752 0.3252 0.1505
0.0000 0.0000 0.5000
0.5000 0.0000 0.5000
0.8107 0.5607 0.6215
0.1893 0.4393 0.3785
```

Properties
Formation energy without anion corrections, eV per atom: -1.46

# 4
Below is a relaxed SrPt2 crystal, with properties calculated at the PBE level.

Cell and atoms, written as POSCAR:
```
SrPt2
1.0
-3.7808 0.0562 4.3731
-0.5096 -3.9493 4.1910
3.8384 3.2635 -2.8352
Pt Sr
2 1
Direct
0.2835 0.2835 0.0000
0.7165 0.7165 0.0000
0.0000 0.0000 0.0000
```

Properties
Energy of formation from the pure elements, eV/atom: -0.44